1.
Compound: AlTePt2
Source: the Alexandria database
Functional: PBE
Structure: relaxed

Cell and atoms, written as CIF:
```
data_AlTePt2
_chemical_formula_sum 'Al2 Te2 Pt4'
_space_group_name_H-M_alt 'I -4 m 2'
_space_group_IT_number 119
_space_group_name_Hall 'I -4 -2'
_cell_length_a 3.9947
_cell_length_b 3.9947
_cell_length_c 8.8805
_cell_angle_alpha 90.00
_cell_angle_beta 90.00
_cell_angle_gamma 90.00
loop_
_atom_site_label
_atom_site_fract_x
_atom_site_fract_y
_atom_site_fract_z
Al1 0.0000 0.0000 0.0000
Te1 0.0000 0.5000 0.2500
Pt1 0.0000 0.0000 0.5000
Pt2 0.0000 0.5000 0.7500
```

---

2.
Compound: Al2TePt
Source: the Alexandria database
Functional: PBE
Structure: relaxed

Cell and atoms, written as CIF:
```
data_Al2TePt
_chemical_formula_sum 'Al4 Te2 Pt2'
_space_group_name_H-M_alt 'I -4 m 2'
_space_group_IT_number 119
_space_group_name_Hall 'I -4 -2'
_cell_length_a 4.3509
_cell_length_b 4.3509
_cell_length_c 7.9601
_cell_angle_alpha 90.00
_cell_angle_beta 90.00
_cell_angle_gamma 90.00
loop_
_atom_site_label
_atom_site_fract_x
_atom_site_fract_y
_atom_site_fract_z
Al1 0.0000 0.0000 0.0000
Al2 0.0000 0.5000 0.2500
Te1 0.0000 0.0000 0.5000
Pt1 0.0000 0.5000 0.7500
```

---

3.
Compound: AlTePt2
Source: the Alexandria database
Functional: PBE
Structure: relaxed

Cell and atoms, written as CIF:
```
data_AlTePt2
_chemical_formula_sum 'Al4 Te4 Pt8'
_space_group_name_H-M_alt 'F m -3 m'
_space_group_IT_number 225
_space_group_name_Hall '-F 4 2 3'
_cell_length_a 6.5850
_cell_length_b 6.5850
_cell_length_c 6.5850
_cell_angle_alpha 90.00
_cell_angle_beta 90.00
_cell_angle_gamma 90.00
loop_
_atom_site_label
_atom_site_fract_x
_atom_site_fract_y
_atom_site_fract_z
Al1 0.0000 0.0000 0.0000
Te1 0.0000 0.0000 0.5000
Pt1 0.2500 0.2500 0.2500
```

---

4.
Compound: AlTePt2
Source: the Alexandria database
Functional: PBE
Structure: relaxed

Cell and atoms, written as CIF:
```
data_AlTePt2
_chemical_formula_sum 'Al3 Te3 Pt6'
_space_group_name_H-M_alt 'R 3 m'
_space_group_IT_number 160
_space_group_name_Hall 'R 3 -2"'
_cell_length_a 4.0664
_cell_length_b 4.0664
_cell_length_c 16.3387
_cell_angle_alpha 90.00
_cell_angle_beta 90.00
_cell_angle_gamma 120.00
loop_
_atom_site_label
_atom_site_fract_x
_atom_site_fract_y
_atom_site_fract_z
Al1 0.0000 0.0000 0.0000
Te1 0.0000 0.0000 0.1756
Pt1 0.0000 0.0000 0.3968
Pt2 0.0000 0.0000 0.6146
```

---

5.
Compound: AlTePt2
Source: the Alexandria database
Functional: PBE
Structure: relaxed

Cell and atoms, written as CIF:
```
data_AlTePt2
_chemical_formula_sum 'Al2 Te2 Pt4'
_space_group_name_H-M_alt 'C 1 m 1'
_space_group_IT_number 8
_cell_length_a 7.1181
_cell_length_b 3.9473
_cell_length_c 5.7499
_cell_angle_alpha 90.00
_cell_angle_beta 98.70
_cell_angle_gamma 90.00
loop_
_space_group_symop_operation_xyz
'x,y,z'
'x,-y,z'
'x+1/2,y+1/2,z'
'x+1/2,-y+1/2,z'
loop_
_atom_site_label
_atom_site_fract_x
_atom_site_fract_y
_atom_site_fract_z
Al1 0.0000 0.0000 0.0000
Te1 0.4050 0.5000 0.4976
Pt1 0.1411 0.5000 0.8129
Pt2 0.3423 0.0000 0.1438
```

---

6.
Compound: Al2TePt
Source: the Alexandria database
Functional: PBE
Structure: relaxed

Cell and atoms, written as CIF:
```
data_Al2TePt
_chemical_formula_sum 'Al4 Te2 Pt2'
_space_group_name_H-M_alt 'I m m 2'
_space_group_IT_number 44
_cell_length_a 3.5726
_cell_length_b 3.7407
_cell_length_c 12.0405
_cell_angle_alpha 90.00
_cell_angle_beta 90.00
_cell_angle_gamma 90.00
loop_
_space_group_symop_operation_xyz
'x,y,z'
'-x,-y,z'
'-x,y,z'
'x,-y,z'
'x+1/2,y+1/2,z+1/2'
'-x+1/2,-y+1/2,z+1/2'
'-x+1/2,y+1/2,z+1/2'
'x+1/2,-y+1/2,z+1/2'
loop_
_atom_site_label
_atom_site_fract_x
_atom_site_fract_y
_atom_site_fract_z
Al1 0.0000 0.0000 0.0000
Al2 0.0000 0.5000 0.1905
Te1 0.0000 0.0000 0.3784
Pt1 0.0000 0.5000 0.6512
```

---

| no. | E_tot (eV/atom) | total magnetic moment (μB/f.u.) | E_form (uncorrected) (eV/atom) |
| --- | --- | --- | --- |
| 1 | -4.9340 | 0.000 | -0.19 |
| 2 | -4.1286 | 0.000 | 0.04 |
| 3 | -4.9001 | 0.000 | -0.16 |
| 4 | -5.1302 | 0.000 | -0.39 |
| 5 | -5.1804 | 0.000 | -0.44 |
| 6 | -4.4964 | 0.000 | -0.33 |